# 1
Nd3InN: relaxed, GGA-PBE.

## Properties
Uncorrected formation energy in eV per atom: -0.860
Symmetry: Pm-3m
Magnetic moment in μB per cell: 0.00

Geometry as POSCAR:
```
Nd3InN
1.0
5.0406 0.0000 0.0000
0.0000 5.0406 0.0000
0.0000 0.0000 5.0406
Nd N In
3 1 1
Direct
0.5000 0.0000 0.5000
0.5000 0.5000 0.0000
0.0000 0.5000 0.5000
0.5000 0.5000 0.5000
0.0000 0.0000 0.0000
```



# 2
Zr2RuPt: relaxed, GGA-PBE.

## Properties
Formation energy in eV/atom: -0.443
Symmetry: R-3m
Magnetic moment in μB per cell: 0.00

Geometry as POSCAR:
```
Zr2RuPt
1.0
7.7442 -0.0598 -0.0357
6.9880 3.3384 -0.0357
6.9880 1.5551 2.9543
Zr Pt Ru
2 1 1
Direct
0.4978 0.4978 0.4978
0.0022 0.0022 0.0022
0.2500 0.2500 0.2500
0.7500 0.7500 0.7500
```



# 3
Te3PdW: relaxed, GGA-PBE.

## Properties
Uncorrected formation energy in eV per atom: 1.217
Symmetry: Pm-3m
Magnetic moment in μB per cell: 2.81

Geometry as POSCAR:
```
Te3PdW
1.0
-4.4586 2.4064 1.1625
-2.4125 -2.6512 -3.7647
-1.1499 -3.7686 3.3908
Pd Te W
1 3 1
Direct
0.0000 0.0000 0.0000
0.5000 0.0000 0.0000
0.0000 0.0000 0.5000
0.0000 0.5000 0.0000
0.5000 0.5000 0.5000
```



# 4
LaPm2Y: relaxed, GGA-PBE.

## Properties
Formation energy in eV/atom: 0.018
Energy above the lowest structure with this stoichiometry in meV per atom: 10
Symmetry: P4/mmm
Magnetic moment in μB per cell: 0.00

Geometry as POSCAR:
```
LaPm2Y
1.0
-1.3246 -3.1528 3.9134
4.6291 -2.2491 -0.2451
1.8422 3.4233 3.3815
La Pm Y
1 2 1
Direct
0.5000 0.5000 0.5000
0.0000 0.5000 0.0000
0.0000 0.0000 0.5000
0.5000 0.0000 0.0000
```



# 5
PmIn4Rh2: relaxed, GGA-PBE.

## Properties
Formation energy in eV/atom: -0.486
Symmetry: Pnma
Magnetic moment in μB per cell: 0.00

Geometry as POSCAR:
```
PmIn4Rh2
1.0
4.5427 0.0000 0.0000
0.0000 7.1825 0.0000
0.0000 0.0000 18.4968
In Pm Rh
16 4 8
Direct
0.7500 0.3276 0.3139
0.2500 0.8276 0.1861
0.7500 0.1724 0.8139
0.2500 0.3523 0.0344
0.7500 0.9993 0.0703
0.2500 0.2596 0.6924
0.2500 0.6724 0.6861
0.7500 0.7404 0.3076
0.2500 0.0007 0.9297
0.7500 0.7596 0.8076
0.7500 0.6477 0.9656
0.7500 0.5007 0.5703
0.2500 0.1477 0.5344
0.7500 0.8523 0.4656
0.2500 0.4993 0.4297
0.2500 0.2404 0.1924
0.7500 0.9689 0.6400
0.2500 0.4689 0.8600
0.7500 0.5311 0.1400
0.2500 0.0311 0.3600
0.2500 0.5372 0.2831
0.2500 0.7553 0.5401
0.7500 0.2553 0.9599
0.7500 0.4628 0.7169
0.2500 0.7447 0.0401
0.7500 0.2447 0.4599
0.7500 0.0372 0.2169
0.2500 0.9628 0.7831
```



# 6
LaTi: relaxed, GGA-PBE.

## Properties
Formation energy in eV/atom: 1.993
Energy above the lowest structure with this stoichiometry in meV per atom: 1793
Symmetry: Pm-3n
Magnetic moment in μB per cell: 9.35

Geometry as POSCAR:
```
LaTi
1.0
-6.9926 1.2416 3.4615
-2.7771 -6.6578 -3.2219
2.4106 -4.0684 6.3291
Ti La
6 6
Direct
0.5000 0.0000 0.2500
0.0000 0.7500 0.5000
0.7500 0.5000 0.0000
0.5000 0.0000 0.7500
0.2500 0.5000 0.0000
0.0000 0.2500 0.5000
0.2500 0.0000 0.5000
0.5000 0.7500 0.0000
0.7500 0.0000 0.5000
0.0000 0.5000 0.7500
0.0000 0.5000 0.2500
0.5000 0.2500 0.0000
```



# 7
YMnFe2: relaxed, GGA-PBE.

## Properties
Formation energy in eV/atom: 0.580
Energy above the lowest structure with this stoichiometry in meV per atom: 459
Symmetry: I4_1/amd
Magnetic moment in μB per cell: 5.41

Geometry as POSCAR:
```
YMnFe2
1.0
4.4486 0.0000 0.0000
0.0000 4.4486 0.0000
2.2243 2.2243 7.4446
Fe Mn Y
4 2 2
Direct
0.3750 0.6251 0.7500
0.8750 0.6249 0.7500
0.3749 0.1250 0.2500
0.3751 0.6250 0.2500
0.2500 0.7500 0.5000
0.5000 0.5000 0.0000
0.0000 0.0000 0.0000
0.7500 0.2500 0.5000
```



# 8
Pm2YMgHg4: relaxed, GGA-PBE.

## Properties
Formation energy in eV/atom: -0.480
Symmetry: R-3m
Magnetic moment in μB per cell: 0.00

Geometry as POSCAR:
```
Pm2YMgHg4
1.0
5.2323 0.0000 0.0000
2.6162 4.5313 0.0000
2.6162 1.5104 8.6865
Hg Pm Y Mg
4 2 1 1
Direct
0.3721 0.3721 0.8837
0.6279 0.6279 0.1163
0.1238 0.1238 0.6286
0.8762 0.8762 0.3714
0.2446 0.2446 0.2662
0.7554 0.7554 0.7338
0.0000 0.0000 0.0000
0.5000 0.5000 0.5000
```



# 9
AlTl3Fe: relaxed, GGA-PBE.

## Properties
Formation energy in eV/atom: 0.932
Energy above the lowest structure with this stoichiometry in meV per atom: 410
Symmetry: Pm-3m
Magnetic moment in μB per cell: 3.32

Geometry as POSCAR:
```
AlTl3Fe
1.0
5.3683 0.0000 0.0000
0.0000 5.3683 0.0000
0.0000 0.0000 5.3683
Tl Fe Al
3 1 1
Direct
0.0000 0.5000 0.0000
0.5000 0.0000 0.0000
0.0000 0.0000 0.5000
0.5000 0.5000 0.5000
0.0000 0.0000 0.0000
```



# 10
Sc4CoAgPd2: relaxed, GGA-PBE.

## Properties
Formation energy in eV/atom: -0.595
Symmetry: R-3m
Magnetic moment in μB per cell: 0.00

Geometry as POSCAR:
```
Sc4CoAgPd2
1.0
-3.7242 1.6271 -2.2870
-4.1065 -2.1765 0.3839
-4.3720 4.1963 5.3502
Sc Pd Ag Co
4 2 1 1
Direct
0.1303 0.1303 0.6092
0.3821 0.3821 0.8536
0.8697 0.8697 0.3908
0.6179 0.6179 0.1464
0.7499 0.7499 0.7502
0.2501 0.2501 0.2498
0.0000 0.0000 0.0000
0.5000 0.5000 0.5000
```



# 11
TaSnSeBr2: relaxed, GGA-PBE.

## Properties
Uncorrected formation energy in eV per atom: 0.026
Energy above the lowest structure with this stoichiometry in meV per atom: 0
Symmetry: P4/mmm
Magnetic moment in μB per cell: 1.12

Geometry as POSCAR:
```
TaSnSeBr2
1.0
-1.5516 -4.8298 1.0615
4.6462 -1.0430 2.0460
-1.6581 1.5319 4.5462
Sn Ta Br Se
1 1 2 1
Direct
0.5000 0.5000 0.5000
0.0000 0.0000 0.0000
0.0000 0.5000 0.0000
0.5000 0.0000 0.0000
0.0000 0.0000 0.5000
```



# 12
NiRuPt2: relaxed, GGA-PBE.

## Properties
Formation energy in eV/atom: 0.219
Energy above the lowest structure with this stoichiometry in meV per atom: 238
Symmetry: Fm-3m
Magnetic moment in μB per cell: 2.05

Geometry as POSCAR:
```
NiRuPt2
1.0
1.2541 -3.0296 2.8589
-2.4785 -3.5104 0.6770
1.3223 -3.8997 -1.4029
Ru Ni Pt
1 1 2
Direct
0.5000 0.5000 0.5000
0.0000 0.0000 0.0000
0.2500 0.2500 0.2500
0.7500 0.7500 0.7500
```



# 13
ScNb3H: relaxed, GGA-PBE.

## Properties
Energy above the lowest structure with this stoichiometry in meV per atom: 2267
Symmetry: Pm-3m
Magnetic moment in μB per cell: 0.00

Geometry as POSCAR:
```
ScNb3H
1.0
4.7838 0.0000 0.0000
0.0000 4.7838 0.0000
0.0000 0.0000 4.7838
H Nb Sc
1 3 1
Direct
0.5000 0.5000 0.5000
0.0000 0.0000 0.5000
0.5000 0.0000 0.0000
0.0000 0.5000 0.0000
0.0000 0.0000 0.0000
```



# 14
Pr2ZrO: relaxed, GGA-PBE.

## Properties
Uncorrected formation energy in eV per atom: -0.906
Symmetry: R-3m
Magnetic moment in μB per cell: 1.08

Geometry as POSCAR:
```
Pr2ZrO
1.0
3.5364 0.0000 0.0000
1.7682 3.0626 0.0000
1.7682 1.0209 9.1537
Zr Pr O
1 2 1
Direct
0.0000 0.0000 0.0000
0.8865 0.8865 0.3406
0.1135 0.1135 0.6594
0.5000 0.5000 0.5000
```



# 15
TcOsBr2: relaxed, GGA-PBE.

## Properties
Uncorrected formation energy in eV per atom: 0.574
Energy above the lowest structure with this stoichiometry in meV per atom: 294
Symmetry: Imm2
Magnetic moment in μB per cell: 0.00

Geometry as POSCAR:
```
TcOsBr2
1.0
-1.9709 8.5799 -3.0649
-4.9720 5.8566 -5.2794
1.8214 -7.0815 5.7816
Tc Br Os
1 2 1
Direct
0.6690 0.1690 0.5000
0.2655 0.7655 0.5000
0.9823 0.9823 0.0000
0.5832 0.5832 0.0000
```



# 16
Ac2H6RhAu: relaxed, GGA-PBE.

## Properties
Symmetry: C2/m
Magnetic moment in μB per cell: 0.01

Geometry as POSCAR:
```
Ac2H6RhAu
1.0
-5.5980 -0.5098 0.5112
-0.2906 -1.9105 -5.3033
-2.4956 -4.9620 -1.0827
H Ac Au Rh
6 2 1 1
Direct
0.2788 0.2788 0.0022
0.7212 0.7212 0.9978
0.2800 0.2800 0.4382
0.7200 0.7200 0.5618
0.7196 0.2803 0.0000
0.2804 0.7197 0.0000
0.2497 0.7503 0.5000
0.7503 0.2497 0.5000
0.0000 0.0000 0.0000
0.5000 0.5000 0.0000
```



# 17
PrYCuHg: relaxed, GGA-PBE.

## Properties
Formation energy in eV/atom: -0.297
Symmetry: F-43m
Magnetic moment in μB per cell: 0.00

Geometry as POSCAR:
```
PrYCuHg
1.0
5.2262 0.0000 0.0000
2.6131 4.5260 0.0000
2.6131 1.5087 4.2672
Hg Cu Pr Y
1 1 1 1
Direct
0.5000 0.5000 0.5000
0.0000 0.0000 0.0000
0.2500 0.2500 0.2500
0.7500 0.7500 0.7500
```



# 18
ZnSbH2F: relaxed, GGA-PBE.

## Properties
Symmetry: P4/mmm
Magnetic moment in μB per cell: 0.00

Geometry as POSCAR:
```
ZnSbH2F
1.0
-3.0879 2.4235 -1.7613
-1.7395 -3.0668 -1.1703
-2.2175 -0.1480 3.6839
H F Zn Sb
2 1 1 1
Direct
0.0000 0.0000 0.5000
0.5000 0.0000 0.0000
0.0000 0.0000 0.0000
0.0000 0.5000 0.0000
0.5000 0.5000 0.5000
```



# 19
Sm4In2GaHg: relaxed, GGA-PBE.

## Properties
Formation energy in eV/atom: -0.491
Symmetry: R-3m
Magnetic moment in μB per cell: 0.00

Geometry as POSCAR:
```
Sm4In2GaHg
1.0
-4.1267 2.4258 2.4137
-4.8311 -2.3237 0.0291
-0.9960 -4.0096 8.2802
Sm Ga Hg In
4 1 1 2
Direct
0.1276 0.1276 0.6171
0.6218 0.6218 0.1346
0.3782 0.3782 0.8654
0.8724 0.8724 0.3829
0.5000 0.5000 0.5000
0.0000 0.0000 0.0000
0.2529 0.2529 0.2414
0.7471 0.7471 0.7586
```



# 20
Ca4MgCu: relaxed, GGA-PBE.

## Properties
Formation energy in eV/atom: 0.062
Energy above the lowest structure with this stoichiometry in meV per atom: 145
Symmetry: Pmma
Magnetic moment in μB per cell: 0.00

Geometry as POSCAR:
```
Ca4MgCu
1.0
-1.1481 -2.2054 -2.8387
-6.4623 -2.9330 4.8922
-7.4981 9.3990 -4.2696
Ca Cu Mg
8 2 2
Direct
0.5000 0.6427 0.5985
0.5000 0.7580 0.2500
0.5000 0.3573 0.0985
0.0000 0.0000 0.5000
0.5000 0.6427 0.9015
0.0000 0.0000 0.0000
0.5000 0.3573 0.4015
0.5000 0.2420 0.7500
0.0000 0.4804 0.2500
0.0000 0.5196 0.7500
0.0000 0.1199 0.2500
0.0000 0.8801 0.7500
```



# 21
K2PdAu2: relaxed, GGA-PBE.

## Properties
Formation energy in eV/atom: -0.139
Energy above the lowest structure with this stoichiometry in meV per atom: 96
Symmetry: P4/mbm
Magnetic moment in μB per cell: 0.00

Geometry as POSCAR:
```
K2PdAu2
1.0
-4.1359 5.6800 -1.0667
-5.3715 -4.2620 -1.8675
-1.5634 -0.2057 4.9662
Pd Au K
2 4 4
Direct
0.5000 0.5000 0.0000
0.0000 0.0000 0.0000
0.1407 0.3593 0.0000
0.6407 0.1407 0.0000
0.3593 0.8593 0.0000
0.8593 0.6407 0.0000
0.8256 0.3256 0.5000
0.1744 0.6744 0.5000
0.6744 0.8256 0.5000
0.3256 0.1744 0.5000
```



# 22
LaYZnSn: relaxed, GGA-PBE.

## Properties
Formation energy in eV/atom: -0.538
Symmetry: F-43m
Magnetic moment in μB per cell: 0.00

Geometry as POSCAR:
```
LaYZnSn
1.0
-1.3074 1.3423 4.9939
-4.6460 -1.6119 2.0655
-0.0715 -3.7137 3.8280
Zn Sn Y La
1 1 1 1
Direct
0.5000 0.5000 0.5000
0.0000 0.0000 0.0000
0.7500 0.7500 0.7500
0.2500 0.2500 0.2500
```



# 23
CoHgPt2: relaxed, GGA-PBE.

## Properties
Formation energy in eV/atom: 0.128
Symmetry: Cm
Magnetic moment in μB per cell: 2.16

Geometry as POSCAR:
```
CoHgPt2
1.0
4.8018 -0.0028 -0.0011
3.9620 2.7129 -0.0011
0.8605 0.2661 4.9103
Pt Co Hg
2 1 1
Direct
0.7562 0.7562 0.7305
0.0042 0.0042 0.9864
0.4938 0.4938 0.5345
0.2458 0.2458 0.2486
```



# 24
Ba2CuPt: relaxed, GGA-PBE.

## Properties
Formation energy in eV/atom: -0.044
Symmetry: F-43m
Magnetic moment in μB per cell: 0.00

Geometry as POSCAR:
```
Ba2CuPt
1.0
-0.4345 -5.0662 1.5313
3.4843 -2.0392 3.4498
-1.5320 -1.1551 4.9516
Ba Pt Cu
2 1 1
Direct
0.0000 0.0000 0.0000
0.2500 0.2500 0.2500
0.7500 0.7500 0.7500
0.5000 0.5000 0.5000
```



# 25
Sb2AsPb: relaxed, GGA-PBE.

## Properties
Uncorrected formation energy in eV per atom: 0.101
Energy above the lowest structure with this stoichiometry in meV per atom: 76
Symmetry: R3m
Magnetic moment in μB per cell: 0.00

Geometry as POSCAR:
```
Sb2AsPb
1.0
4.0130 0.0000 0.0000
2.0065 3.4753 0.0000
2.0065 1.1584 8.5587
As Sb Pb
1 2 1
Direct
0.6730 0.6730 0.9809
0.2532 0.2532 0.2403
0.0655 0.0655 0.8035
0.5082 0.5082 0.4753
```



# 26
MgBeAu2: relaxed, GGA-PBE.

## Properties
Formation energy in eV/atom: -0.229
Energy above the lowest structure with this stoichiometry in meV per atom: 113
Symmetry: C2/m
Magnetic moment in μB per cell: 0.00

Geometry as POSCAR:
```
MgBeAu2
1.0
-3.0978 -1.5294 1.9820
2.2974 -2.7930 1.6689
1.7120 5.7167 6.4282
Au Mg Be
4 2 2
Direct
0.2495 0.7505 0.5000
0.7890 0.7890 0.9054
0.7505 0.2495 0.5000
0.2110 0.2110 0.0946
0.7044 0.7044 0.2206
0.2956 0.2956 0.7794
0.2392 0.2392 0.3494
0.7608 0.7608 0.6506
```



no.,total energy (Ha/atom)
1,-0.218
2,-0.314
3,-0.158
4,-0.191
5,-0.178
6,-0.162
7,-0.278
8,-0.104
9,-0.108
10,-0.232
11,-0.166
12,-0.241
13,-0.206
14,-0.245
15,-0.208
16,-0.159
17,-0.155
18,-0.089
19,-0.145
20,-0.082
21,-0.108
22,-0.173
23,-0.174
24,-0.130
25,-0.149
26,-0.118